Record 1
## K2NiCl2F4 (PBE+U)

Data for crystalline K2NiCl2F4 at its relaxed geometry.

## Properties
- Mass density: 2.84 g cm⁻³
- M_tot: 0.000 μB/atom
- DFT total energy: -0.130 hartree per atom
- Volume: 18.42 Å³ per atom

Unit cell a=6.047 b=6.047 c=6.047 alpha=98.64 beta=115.14 gamma=115.14
Positions (direct):
K  0.500  0.250  0.750
Cl  0.000  0.284  0.284
Cl  0.000  0.716  0.716
F  0.000  0.198  0.802
F  0.605  0.802  0.802
F  0.395  0.198  0.198
Ni  0.000  0.000  0.000
F  0.000  0.802  0.198
K  0.500  0.750  0.250

Record 2
## K2NiCl3F (PBE+U)

Data for crystalline K2NiCl3F at its relaxed geometry.

## Properties
- Mass density: 2.69 g cm⁻³
- DOS at the Fermi energy: 0.00 states/eV/cell
- M_tot: 0.276 μB/atom
- DFT total energy: -0.128 hartree per atom
- Volume: 23.15 Å³ per atom

Unit cell a=4.138 b=4.919 c=8.586 alpha=106.65 beta=103.94 gamma=90.00
Positions (direct):
Cl  0.000  0.500  0.000
K  0.355  0.355  0.710
F  0.500  0.000  0.000
K  0.645  0.645  0.290
Ni  0.000  0.000  0.000
Cl  0.155  0.155  0.309
Cl  0.845  0.845  0.691

Record 3
## KNiClF2 (PBE+U)

Data for crystalline KNiClF2 at its relaxed geometry.

## Properties
- Mass density: 3.22 g cm⁻³
- DOS at the Fermi energy: 0.00 states/eV/cell
- M_tot: 0.397 μB/atom
- DFT total energy: -0.141 hartree per atom
- Volume: 17.64 Å³ per atom

Unit cell a=3.684 b=6.874 c=7.229 alpha=90.00 beta=90.00 gamma=105.54
Positions (direct):
F  0.142  0.284  0.967
Ni  0.000  0.000  0.500
Cl  0.525  0.049  0.250
F  0.142  0.284  0.533
Ni  0.000  0.000  0.000
K  0.729  0.458  0.750
K  0.271  0.542  0.250
Cl  0.475  0.951  0.750
F  0.858  0.716  0.467
F  0.858  0.716  0.033

Record 4
## KNiCl2F (PBE+U)

Data for crystalline KNiCl2F at its relaxed geometry.

## Properties
- Mass density: 2.23 g cm⁻³
- DOS at the Fermi energy: 8.49 states/eV/cell
- M_tot: 0.358 μB/atom
- DFT total energy: -0.076 hartree per atom
- Volume: 27.93 Å³ per atom

Unit cell a=5.582 b=4.483 c=5.582 alpha=90.00 beta=90.00 gamma=90.00
Positions (direct):
Cl  0.500  0.000  0.000
F  0.000  0.500  0.000
K  0.000  0.000  0.000
Ni  0.500  0.500  0.500
Cl  0.000  0.000  0.500

Record 5
## K2NiCl2F2 (PBE+U)

Data for crystalline K2NiCl2F2 at its relaxed geometry.

## Properties
- Mass density: 2.77 g cm⁻³
- DOS at the Fermi energy: 0.00 states/eV/cell
- M_tot: 0.281 μB/atom
- DFT total energy: -0.138 hartree per atom
- Volume: 21.08 Å³ per atom

Unit cell a=3.793 b=6.681 c=6.961 alpha=62.19 beta=74.19 gamma=73.51
Positions (direct):
Cl  0.544  0.186  0.726
Cl  0.456  0.814  0.274
K  0.817  0.649  0.717
Ni  0.000  0.000  0.000
F  0.169  0.739  0.924
F  0.831  0.261  0.076
K  0.183  0.351  0.283

Which of these has the highest volume?
KNiCl2F

Among the records above, which one has the lowest volume?
KNiClF2

The highest mass density belongs to which entry?
KNiClF2

Look up the mass density of the fifth one.
2.77 g cm⁻³